[1]
Here is a relaxed structure of Ag8TeSe2 from the Alexandria database. Energies are from PBE.

Cell: 7.8130 7.8130 7.1271 Å, 103.77 103.77 31.47°
Fractional positions:
Ag  0.0419  0.0419  0.2067
Ag  0.1387  0.1387  0.7079
Ag  0.3185  0.3185  0.5935
Ag  0.4079  0.4079  0.0348
Ag  0.5921  0.5921  0.9652
Ag  0.6815  0.6815  0.4065
Ag  0.8613  0.8613  0.2921
Ag  0.9581  0.9581  0.7933
Te  0.5000  0.5000  0.5000
Se  0.2283  0.2283  0.1893
Se  0.7717  0.7717  0.8107

Computed properties:
M_tot: 0.00 μB per formula unit
ΔE_f (raw): 14 meV per atom
SG: C2/m, No. 12
relative energy among the computed polymorphs: 8 meV per atom

=====

[2]
Here is a relaxed structure of AgTeSe2 from the Alexandria database. Energies are from PBE.

Cell: 4.2112 4.4183 11.1691 Å, 90.00 90.00 90.00°
Fractional positions:
Ag  0.0000  0.0000  0.0000
Ag  0.5000  0.5000  0.5000
Te  0.0000  0.0000  0.5000
Te  0.5000  0.5000  0.0000
Se  0.0000  0.5000  0.3320
Se  0.0000  0.5000  0.6680
Se  0.5000  0.0000  0.1680
Se  0.5000  0.0000  0.8320

Computed properties:
M_tot: 0.00 μB per formula unit
ΔE_f (raw): 176 meV per atom
SG: Immm, No. 71

=====

[3]
Here is a relaxed structure of AgTeSe4 from the Alexandria database. Energies are from PBE.

Cell: 4.9130 8.1070 9.1399 Å, 90.00 110.49 90.00°
Fractional positions:
Ag  0.0000  0.2462  0.2500
Ag  0.0000  0.7538  0.7500
Te  0.5000  0.2162  0.7500
Te  0.5000  0.7838  0.2500
Se  0.2220  0.0620  0.0767
Se  0.2220  0.9380  0.5767
Se  0.2453  0.4450  0.4957
Se  0.2453  0.5550  0.9957
Se  0.7547  0.4450  0.0043
Se  0.7547  0.5550  0.5043
Se  0.7780  0.0620  0.4233
Se  0.7780  0.9380  0.9233

Computed properties:
M_tot: 0.00 μB per formula unit
ΔE_f (raw): 61 meV per atom
SG: P2/c, No. 13
relative energy among the computed polymorphs: 0 meV per atom

=====

[4]
Here is a relaxed structure of Ag6Te3Se from the Alexandria database. Energies are from PBE.

Cell: 9.1971 9.1971 6.4471 Å, 90.00 90.00 98.70°
Fractional positions:
Ag  0.0098  0.9902  0.5000
Ag  0.1305  0.5814  0.8112
Ag  0.2101  0.7899  0.4259
Ag  0.3248  0.3511  0.7686
Ag  0.3511  0.3248  0.2686
Ag  0.4186  0.8695  0.8112
Ag  0.5814  0.1305  0.3112
Ag  0.6489  0.6752  0.7686
Ag  0.6752  0.6489  0.2686
Ag  0.7899  0.2101  0.9259
Ag  0.8695  0.4186  0.3112
Ag  0.9902  0.0098  0.0000
Te  0.0881  0.3238  0.0498
Te  0.3238  0.0881  0.5498
Te  0.4015  0.5985  0.5128
Te  0.5985  0.4015  0.0128
Te  0.6762  0.9119  0.0498
Te  0.9119  0.6762  0.5498
Se  0.1733  0.8267  0.0288
Se  0.8267  0.1733  0.5288

Computed properties:
M_tot: 0.00 μB per formula unit
ΔE_f (raw): 4 meV per atom
SG: Cmc2_1, No. 36
relative energy among the computed polymorphs: 0 meV per atom

=====

[5]
Here is a relaxed structure of Ag2TeSe from the Alexandria database. Energies are from PBE.

Cell: 4.6284 4.7159 6.0010 Å, 77.97 89.92 60.67°
Fractional positions:
Ag  0.0000  0.0000  0.0000
Ag  0.1061  0.7863  0.5605
Te  0.7655  0.4670  0.4993
Se  0.6776  0.6438  0.0317

Computed properties:
M_tot: 0.00 μB per formula unit
ΔE_f (raw): -9 meV per atom
SG: P1, No. 1
relative energy among the computed polymorphs: 0 meV per atom

=====

[6]
Here is a relaxed structure of AgTe2Se from the Alexandria database. Energies are from PBE.

Cell: 3.6516 4.0979 16.1517 Å, 90.00 90.00 90.00°
Fractional positions:
Ag  0.0000  0.0000  0.0000
Ag  0.5000  0.5000  0.5000
Te  0.0000  0.0000  0.5467
Te  0.0000  0.5000  0.7571
Te  0.5000  0.0000  0.2571
Te  0.5000  0.5000  0.0467
Se  0.0000  0.5000  0.3050
Se  0.5000  0.0000  0.8050

Computed properties:
M_tot: 0.00 μB per formula unit
ΔE_f (raw): 164 meV per atom
SG: Imm2, No. 44

=====

[7]
Here is a relaxed structure of AgTe2Se from the Alexandria database. Energies are from PBE.

Cell: 4.2179 5.8948 8.4106 Å, 90.00 90.00 90.00°
Fractional positions:
Ag  0.0000  0.0000  0.0000
Ag  0.0000  0.5000  0.5000
Te  0.0000  0.0000  0.4860
Te  0.0000  0.5000  0.9860
Te  0.5000  0.0000  0.7482
Te  0.5000  0.5000  0.2482
Se  0.5000  0.0000  0.2263
Se  0.5000  0.5000  0.7263

Computed properties:
M_tot: 0.00 μB per formula unit
ΔE_f (raw): 15 meV per atom
SG: Amm2, No. 38

=====

[8]
Here is a relaxed structure of AgTeSe2 from the Alexandria database. Energies are from PBE.

Cell: 3.7657 3.7821 13.7436 Å, 90.00 90.00 90.00°
Fractional positions:
Ag  0.0000  0.0000  0.0000
Ag  0.5000  0.5000  0.5000
Te  0.0000  0.5000  0.2596
Te  0.5000  0.0000  0.7596
Se  0.0000  0.0000  0.4075
Se  0.0000  0.5000  0.6437
Se  0.5000  0.0000  0.1437
Se  0.5000  0.5000  0.9075

Computed properties:
M_tot: 0.00 μB per formula unit
ΔE_f (raw): 151 meV per atom
SG: Imm2, No. 44

=====

[9]
Here is a relaxed structure of Ag6Te2Se from the Alexandria database. Energies are from PBE.

Cell: 8.1288 8.1288 4.8504 Å, 106.56 106.56 45.29°
Fractional positions:
Ag  0.0794  0.5984  0.2434
Ag  0.2456  0.7544  0.0000
Ag  0.4016  0.9206  0.7566
Ag  0.5984  0.0794  0.2434
Ag  0.7544  0.2456  0.0000
Ag  0.9206  0.4016  0.7566
Te  0.3307  0.3307  0.7499
Te  0.6693  0.6693  0.2501
Se  0.0000  0.0000  0.5000

Computed properties:
M_tot: 0.00 μB per formula unit
ΔE_f (raw): -38 meV per atom
SG: C2/m, No. 12
relative energy among the computed polymorphs: 0 meV per atom

=====

[10]
Here is a relaxed structure of Ag2TeSe from the Alexandria database. Energies are from PBE.

Cell: 7.0941 7.0941 7.0941 Å, 90.00 90.00 90.00°
Fractional positions:
Ag  0.2500  0.2500  0.2500
Ag  0.2500  0.2500  0.7500
Ag  0.2500  0.7500  0.2500
Ag  0.2500  0.7500  0.7500
Ag  0.7500  0.2500  0.2500
Ag  0.7500  0.2500  0.7500
Ag  0.7500  0.7500  0.2500
Ag  0.7500  0.7500  0.7500
Te  0.0000  0.0000  0.0000
Te  0.0000  0.5000  0.5000
Te  0.5000  0.0000  0.5000
Te  0.5000  0.5000  0.0000
Se  0.0000  0.0000  0.5000
Se  0.0000  0.5000  0.0000
Se  0.5000  0.0000  0.0000
Se  0.5000  0.5000  0.5000

Computed properties:
M_tot: 0.00 μB per formula unit
ΔE_f (raw): 245 meV per atom
SG: Fm-3m, No. 225
relative energy among the computed polymorphs: 254 meV per atom

=====

[11]
Here is a relaxed structure of AgTeSe2 from the Alexandria database. Energies are from PBE.

Cell: 3.8362 3.8804 8.5628 Å, 90.00 90.00 90.00°
Fractional positions:
Ag  0.0000  0.0000  0.0000
Te  0.5000  0.5000  0.0000
Se  0.0000  0.5000  0.5000
Se  0.5000  0.0000  0.5000

Computed properties:
M_tot: 0.36 μB per formula unit
ΔE_f (raw): 271 meV per atom
SG: Pmmm, No. 47

=====

[12]
Here is a relaxed structure of Ag8TeSe6 from the Alexandria database. Energies are from PBE.

Cell: 8.6474 7.7559 10.7168 Å, 90.00 90.00 90.00°
Fractional positions:
Ag  0.0000  0.0789  0.0000
Ag  0.0000  0.2176  0.4275
Ag  0.2022  0.0388  0.2183
Ag  0.2199  0.6673  0.0978
Ag  0.2233  0.5997  0.8087
Ag  0.2767  0.4003  0.3087
Ag  0.2801  0.3327  0.5978
Ag  0.2978  0.9612  0.7183
Ag  0.5000  0.7824  0.9275
Ag  0.5000  0.9211  0.5000
Ag  0.7022  0.9612  0.7183
Ag  0.7199  0.3327  0.5978
Ag  0.7233  0.4003  0.3087
Ag  0.7767  0.5997  0.8087
Ag  0.7801  0.6673  0.0978
Ag  0.7978  0.0388  0.2183
Te  0.0000  0.7397  0.4230
Te  0.5000  0.2603  0.9230
Se  0.0000  0.3068  0.1898
Se  0.0000  0.4965  0.5934
Se  0.0000  0.7523  0.9446
Se  0.0000  0.9717  0.5942
Se  0.1961  0.2428  0.8357
Se  0.3039  0.7572  0.3357
Se  0.5000  0.0283  0.0942
Se  0.5000  0.2477  0.4446
Se  0.5000  0.5035  0.0934
Se  0.5000  0.6932  0.6898
Se  0.6961  0.7572  0.3357
Se  0.8039  0.2428  0.8357

Computed properties:
M_tot: 0.00 μB per formula unit
ΔE_f (raw): -24 meV per atom
SG: Pmn2_1, No. 31